First-principles (PBE-GGA) data for an optimized crystal structure of MgMoIr2, as listed in Alexandria.

* calculated formation energy: -250 meV per atom
* symmetry: Pmmm
* total energy: -7.7868 eV per atom

Geometry as POSCAR:
```
MgMoIr2
1.0
-2.355 1.527 -0.467
-0.401 -1.624 -3.285
-3.203 -4.189 2.462
Ir Mo Mg
2 1 1
direct
0.000 0.000 0.995
0.000 0.000 0.505
0.500 0.500 0.750
0.500 0.500 0.250
```